# TmCrBrO4 PBE with a Hubbard U relaxed
data_TmCrBrO4
_symmetry_space_group_name_H-M 'C 1 2/m 1'
_symmetry_Int_Tables_number 12
_cell_length_a 10.117
_cell_length_b 7.075
_cell_length_c 6.690
_cell_angle_alpha 90.00
_cell_angle_beta 105.21
_cell_angle_gamma 90.00
loop_
_symmetry_equiv_pos_as_xyz
'x,y,z'
'-x,-y,-z'
'-x,y,-z'
'x,-y,z'
'x+1/2,y+1/2,z'
'-x+1/2,-y+1/2,-z'
'-x+1/2,y+1/2,-z'
'x+1/2,-y+1/2,z'
loop_
_atom_site_label
_atom_site_fract_x
_atom_site_fract_y
_atom_site_fract_z
_atom_site_occupancy
Tm1 0.234 0.000 0.120 1
Cr1 0.139 0.500 0.268 1
Br1 0.016 0.000 0.755 1
O1 0.029 0.500 0.776 1
O2 0.191 0.315 0.147 1
O3 0.209 0.500 0.519 1
# **Calculated volume**: 462.1 Å³ per cell
# **E**: -6.705 eV per atom